1.
# MnGe2SF

MnGe2SF at its PBEsol-relaxed geometry (SCAN, the Alexandria database).

Properties
Uncorrected formation energy = 0.07 eV/atom

a = 4.806 Å, b = 4.806 Å, c = 3.836 Å
α = 90.00°, β = 90.00°, γ = 90.00°
Space group P4/mmm (No. 123)
Symmetry-distinct sites (fractional):
1 Mn 0.000 0.000 0.000
2 Ge 0.000 0.500 0.500
3 S 0.500 0.500 0.000
4 F 0.000 0.000 0.500


2.
# GeMoF3

GeMoF3 at its PBEsol-relaxed geometry (SCAN, the Alexandria database).

Properties
Uncorrected formation energy = -1.15 eV/atom
Polymorph energy (0 for the lowest one) = 0.000 eV per formula unit

a = 4.183 Å, b = 4.183 Å, c = 4.183 Å
α = 90.00°, β = 90.00°, γ = 90.00°
Space group Pm-3m (No. 221)
Symmetry-distinct sites (fractional):
1 Ge 0.000 0.000 0.000
2 Mo 0.500 0.500 0.500
3 F 0.000 0.500 0.500


3.
# GeMoF3

GeMoF3 at its PBEsol-relaxed geometry (SCAN, the Alexandria database).

Properties
Uncorrected formation energy = -0.88 eV/atom
Polymorph energy (0 for the lowest one) = 1.358 eV per formula unit

a = 4.311 Å, b = 4.311 Å, c = 4.311 Å
α = 90.00°, β = 90.00°, γ = 90.00°
Space group Pm-3m (No. 221)
Symmetry-distinct sites (fractional):
1 Ge 0.000 0.000 0.000
2 Mo 0.500 0.500 0.500
3 F 0.000 0.000 0.500


4.
# Ge2MoPtF

Ge2MoPtF at its PBEsol-relaxed geometry (SCAN, the Alexandria database).

Properties
Uncorrected formation energy = 0.47 eV/atom

a = 4.871 Å, b = 4.871 Å, c = 4.609 Å
α = 90.00°, β = 90.00°, γ = 90.00°
Space group P4/mmm (No. 123)
Symmetry-distinct sites (fractional):
1 Ge 0.000 0.500 0.000
2 Mo 0.000 0.000 0.000
3 Pt 0.000 0.000 0.500
4 F 0.500 0.500 0.500


5.
# NaGeNF2

NaGeNF2 at its PBEsol-relaxed geometry (SCAN, the Alexandria database).

Properties
Uncorrected formation energy = -1.39 eV/atom

a = 4.165 Å, b = 4.165 Å, c = 3.429 Å
α = 90.00°, β = 90.00°, γ = 90.00°
Space group P4/mmm (No. 123)
Symmetry-distinct sites (fractional):
1 Na 0.000 0.000 0.000
2 Ge 0.500 0.500 0.500
3 N 0.500 0.500 0.000
4 F 0.000 0.500 0.500


6.
# GeN2OF

GeN2OF at its PBEsol-relaxed geometry (SCAN, the Alexandria database).

Properties
Uncorrected formation energy = 2.01 eV/atom

a = 3.415 Å, b = 3.415 Å, c = 4.883 Å
α = 90.00°, β = 90.00°, γ = 90.00°
Space group P4/mmm (No. 123)
Symmetry-distinct sites (fractional):
1 Ge 0.000 0.000 0.000
2 N 0.000 0.500 0.500
3 O 0.500 0.500 0.000
4 F 0.500 0.500 0.500


7.
# GePNF2

GePNF2 at its PBEsol-relaxed geometry (SCAN, the Alexandria database).

Properties
Uncorrected formation energy = -0.08 eV/atom

a = 3.904 Å, b = 3.904 Å, c = 3.941 Å
α = 90.00°, β = 90.00°, γ = 90.00°
Space group P4/mmm (No. 123)
Symmetry-distinct sites (fractional):
1 Ge 0.000 0.000 0.000
2 P 0.500 0.500 0.500
3 N 0.000 0.000 0.500
4 F 0.000 0.500 0.000


8.
# GeSbN2F

GeSbN2F at its PBEsol-relaxed geometry (SCAN, the Alexandria database).

Properties
Uncorrected formation energy = 0.16 eV/atom

a = 3.906 Å, b = 3.906 Å, c = 3.773 Å
α = 90.00°, β = 90.00°, γ = 90.00°
Space group P4/mmm (No. 123)
Symmetry-distinct sites (fractional):
1 Ge 0.000 0.000 0.000
2 Sb 0.500 0.500 0.500
3 N 0.000 0.500 0.000
4 F 0.000 0.000 0.500